Run one
# Ba2ReOs

A geometry-optimized Ba2ReOs structure (PBE-GGA, Alexandria via LeMat-Bulk).

Lattice parameters (Å, degrees): 5.1829 5.1829 5.1829 60.00 60.00 60.00
Element x y z (fractional)
Ba 0.0000 0.0000 0.0000
Ba 0.2500 0.2500 0.2500
Re 0.5000 0.5000 0.5000
Os 0.7500 0.7500 0.7500

- DOS at the Fermi energy (states/eV/cell) = 7.13


Run two
# Ba2ReOs

A geometry-optimized Ba2ReOs structure (PBE-GGA, Alexandria via LeMat-Bulk).

Lattice parameters (Å, degrees): 3.4136 5.1900 5.7074 90.00 91.42 90.00
Element x y z (fractional)
Ba 0.1164 0.0000 0.2515
Ba 0.8836 0.0000 0.7485
Re 0.5000 0.5000 0.0000
Os 0.5000 0.5000 0.5000

- DOS at the Fermi energy (states/eV/cell) = 4.75


Run three
# Ba2ReOs

A geometry-optimized Ba2ReOs structure (PBE-GGA, Alexandria via LeMat-Bulk).

Lattice parameters (Å, degrees): 10.0755 10.0755 10.0755 159.62 158.79 29.58
Element x y z (fractional)
Ba 0.1435 0.1435 0.0000
Ba 0.8565 0.8565 0.0000
Re 0.5000 0.0000 0.5000
Os 0.0000 0.5000 0.5000

- DOS at the Fermi energy (states/eV/cell) = 4.72


Of them, run two has the lowest stability.


Run one
# Ba2ReOs

A geometry-optimized Ba2ReOs structure (PBE-GGA, Alexandria via LeMat-Bulk).

Lattice parameters (Å, degrees): 6.9287 6.9287 6.9287 146.74 134.74 57.31
Element x y z (fractional)
Ba 0.0000 0.0000 0.0000
Ba 0.7250 0.2250 0.5000
Re 0.4159 0.4159 0.0000
Os 0.3110 0.8110 0.5000

- DOS at the Fermi energy (states/eV/cell) = 4.65


Run two
# Ba2ReOs

A geometry-optimized Ba2ReOs structure (PBE-GGA, Alexandria via LeMat-Bulk).

Lattice parameters (Å, degrees): 5.8375 5.8375 3.4239 90.00 90.00 119.75
Element x y z (fractional)
Ba 0.0000 0.5000 0.0000
Ba 0.5000 0.0000 0.0000
Re 0.0000 0.0000 0.5000
Os 0.5000 0.5000 0.5000

- DOS at the Fermi energy (states/eV/cell) = 4.71


Run three
# Ba2ReOs

A geometry-optimized Ba2ReOs structure (PBE-GGA, Alexandria via LeMat-Bulk).

Lattice parameters (Å, degrees): 5.9785 5.9785 5.9785 136.18 136.18 63.70
Element x y z (fractional)
Ba 0.2500 0.7500 0.5000
Ba 0.7500 0.2500 0.5000
Re 0.0000 0.0000 0.0000
Os 0.5000 0.5000 0.0000

- DOS at the Fermi energy (states/eV/cell) = 5.24


Of them, run three has the lowest stability.


Run one
# BaRe3Os

A geometry-optimized BaRe3Os structure (PBE-GGA, Alexandria via LeMat-Bulk).

Lattice parameters (Å, degrees): 4.8322 4.8322 4.8322 90.00 90.00 90.00
Element x y z (fractional)
Ba 0.0000 0.0000 0.0000
Re 0.0000 0.0000 0.5000
Re 0.0000 0.5000 0.0000
Re 0.5000 0.0000 0.0000
Os 0.5000 0.5000 0.5000

- DOS at the Fermi energy (states/eV/cell) = 7.90


Run two
# BaRe3Os

A geometry-optimized BaRe3Os structure (PBE-GGA, Alexandria via LeMat-Bulk).

Lattice parameters (Å, degrees): 4.8751 4.8751 4.8751 90.00 90.00 90.00
Element x y z (fractional)
Ba 0.0000 0.0000 0.0000
Re 0.0000 0.5000 0.5000
Re 0.5000 0.0000 0.5000
Re 0.5000 0.5000 0.0000
Os 0.5000 0.5000 0.5000

- DOS at the Fermi energy (states/eV/cell) = 8.42


Of them, run one has the lowest stability.


Run one
# Ba2Re2Os

A geometry-optimized Ba2Re2Os structure (PBE-GGA, Alexandria via LeMat-Bulk).

Lattice parameters (Å, degrees): 9.4319 9.4319 2.8113 90.00 90.00 90.00
Element x y z (fractional)
Ba 0.1280 0.3720 0.0000
Ba 0.3720 0.8720 0.0000
Ba 0.6280 0.1280 0.0000
Ba 0.8720 0.6280 0.0000
Re 0.1773 0.6773 0.5000
Re 0.3227 0.1773 0.5000
Re 0.6773 0.8227 0.5000
Re 0.8227 0.3227 0.5000
Os 0.0000 0.0000 0.0000
Os 0.5000 0.5000 0.0000

- DOS at the Fermi energy (states/eV/cell) = 16.56


Run two
# Ba2Re2Os

A geometry-optimized Ba2Re2Os structure (PBE-GGA, Alexandria via LeMat-Bulk).

Lattice parameters (Å, degrees): 10.8035 10.8035 10.8035 161.12 161.12 26.82
Element x y z (fractional)
Ba 0.0970 0.0970 0.0000
Ba 0.9030 0.9030 0.0000
Re 0.2500 0.7500 0.5000
Re 0.7500 0.2500 0.5000
Os 0.5000 0.5000 0.0000

- DOS at the Fermi energy (states/eV/cell) = 6.80


Of them, run one has the lowest stability.


Run one
# BaOsRh2

A geometry-optimized BaOsRh2 structure (PBE-GGA, Alexandria via LeMat-Bulk).

Lattice parameters (Å, degrees): 3.1427 3.1427 7.9592 90.00 90.00 90.00
Element x y z (fractional)
Ba 0.0000 0.0000 0.0000
Os 0.5000 0.5000 0.3274
Rh 0.0000 0.0000 0.4942
Rh 0.5000 0.5000 0.6929

- DOS at the Fermi energy (states/eV/cell) = 3.44


Run two
# BaOsRh2

A geometry-optimized BaOsRh2 structure (PBE-GGA, Alexandria via LeMat-Bulk).

Lattice parameters (Å, degrees): 2.9079 3.6317 7.5082 90.00 90.00 90.00
Element x y z (fractional)
Ba 0.0000 0.0000 0.0000
Os 0.0000 0.0000 0.5000
Rh 0.5000 0.5000 0.3237
Rh 0.5000 0.5000 0.6763

- DOS at the Fermi energy (states/eV/cell) = 4.45


Run three
# BaOsRh2

A geometry-optimized BaOsRh2 structure (PBE-GGA, Alexandria via LeMat-Bulk).

Lattice parameters (Å, degrees): 2.9798 4.8575 5.3820 90.00 90.00 90.00
Element x y z (fractional)
Ba 0.0000 0.0000 0.0000
Os 0.5000 0.0000 0.5000
Rh 0.0000 0.5000 0.5000
Rh 0.5000 0.5000 0.0000

- DOS at the Fermi energy (states/eV/cell) = 6.34


Of them, run three has the lowest stability.


Run one
# BaOsRh2

A geometry-optimized BaOsRh2 structure (PBE-GGA, Alexandria via LeMat-Bulk).

Lattice parameters (Å, degrees): 5.0708 5.0708 2.9413 90.00 90.00 90.00
Element x y z (fractional)
Ba 0.0000 0.0000 0.0000
Os 0.5000 0.5000 0.0000
Rh 0.0000 0.5000 0.5000
Rh 0.5000 0.0000 0.5000

- DOS at the Fermi energy (states/eV/cell) = 3.96


Run two
# BaOsRh2

A geometry-optimized BaOsRh2 structure (PBE-GGA, Alexandria via LeMat-Bulk).

Lattice parameters (Å, degrees): 5.1374 5.1374 5.1374 130.92 130.92 71.94
Element x y z (fractional)
Ba 0.0000 0.0000 0.0000
Os 0.2500 0.7500 0.5000
Rh 0.5000 0.5000 0.0000
Rh 0.7500 0.2500 0.5000

- DOS at the Fermi energy (states/eV/cell) = 7.14


Run three
# BaOsRh2

A geometry-optimized BaOsRh2 structure (PBE-GGA, Alexandria via LeMat-Bulk).

Lattice parameters (Å, degrees): 5.6359 5.6359 5.6359 142.98 120.36 72.32
Element x y z (fractional)
Ba 0.0000 0.0000 0.0000
Os 0.5000 0.5000 0.0000
Rh 0.3156 0.8156 0.5000
Rh 0.6844 0.1844 0.5000

- DOS at the Fermi energy (states/eV/cell) = 6.20


Of them, run two has the lowest stability.